This record from Alexandria via LeMat-Bulk describes a geometry-optimized K2SrCa structure. The functional is PBE.

Geometry as CIF:
```
data_K2SrCa
_symmetry_space_group_name_H-M 'C m m m'
_symmetry_Int_Tables_number 65
_symmetry_space_group_name_Hall '-C 2 2'
_cell_length_a 4.495
_cell_length_b 6.942
_cell_length_c 14.659
_cell_angle_alpha 90.00
_cell_angle_beta 90.00
_cell_angle_gamma 90.00
loop_
_atom_site_label
_atom_site_type_symbol
_atom_site_fract_x
_atom_site_fract_y
_atom_site_fract_z
_atom_site_occupancy
K1 K 0.000 0.000 0.243 1
Sr1 Sr 0.000 0.500 0.500 1
Ca1 Ca 0.000 0.500 0.000 1
```

Properties
The value obtained for the energy is -1.33 eV per atom. For the formation energy, the calculation gives 0.141 eV/atom.